Entry 1:
The following is a DFT calculation (PBE-GGA) of an optimized crystal structure of TaFe3Tc.

a b c (Å): 4.3401 4.3401 4.3401
angles (deg): 90.00 90.00 90.00
With the nearest neighbours (Å) after each atom.
Sites, in units of the cell vectors:
1 Fe 0.5000 0.0000 0.0000  2 Tc 2.17
2 Fe 0.0000 0.5000 0.0000  2 Tc 2.17
3 Fe 0.0000 0.0000 0.5000  2 Tc 2.17
4 Ta 0.5000 0.5000 0.5000  12 Fe 3.07
5 Tc 0.0000 0.0000 0.0000  6 Fe 2.17

Computed properties:
Its energy above the most stable polymorph in this dataset is 0 meV per atom. As for the formation energy: 675 kJ/mol of formula units.

***

Entry 2:
The following is a DFT calculation (PBE-GGA) of an optimized crystal structure of ReSnBi2Se.

a b c (Å): 5.4584 5.4166 5.4584
angles (deg): 90.00 90.00 90.00
With the nearest neighbours (Å) after each atom.
Sites, in units of the cell vectors:
1 Re 0.5000 0.5000 0.5000  8 Bi 3.84, 4 Sn 3.86
2 Se 0.0000 0.0000 0.0000  2 Sn 2.71, 4 Bi 2.73
3 Sn 0.0000 0.5000 0.0000  2 Se 2.71
4 Bi 0.5000 0.0000 0.0000  2 Se 2.73
5 Bi 0.0000 0.0000 0.5000  2 Se 2.73

Computed properties:
As for the uncorrected formation energy: 1.49 eV per atom.

***

Entry 3:
The following is a DFT calculation (PBE-GGA) of an optimized crystal structure of TiGaSbTe2.

a b c (Å): 5.3377 5.3377 5.1354
angles (deg): 90.00 90.00 90.00
With the nearest neighbours (Å) after each atom.
Sites, in units of the cell vectors:
1 Ga 0.0000 0.0000 0.0000  2 Sb 2.57, 4 Te 2.67
2 Sb 0.0000 0.0000 0.5000  2 Ga 2.57
3 Te 0.0000 0.5000 0.0000  2 Ga 2.67
4 Te 0.5000 0.0000 0.0000  2 Ga 2.67
5 Ti 0.5000 0.5000 0.5000  8 Te 3.70, 4 Sb 3.77

Computed properties:
As for the uncorrected formation energy: 0.70 eV per atom. Its energy above the most stable polymorph in this dataset is 709 meV per atom.

***

Entry 4:
The following is a DFT calculation (PBE-GGA) of an optimized crystal structure of FeAg2.

a b c (Å): 13.1898 13.1898 13.1898
angles (deg): 167.99 167.99 17.02
With the nearest neighbours (Å) after each atom.
Sites, in units of the cell vectors:
1 Ag 0.3264 0.8264 0.5000  6 Ag 2.76-2.88, 4 Fe 2.79
2 Ag 0.4236 0.4236 0.0000  6 Ag 2.76-2.88, 4 Fe 2.79
3 Ag 0.5764 0.5764 0.0000  6 Ag 2.76-2.88, 4 Fe 2.79
4 Ag 0.1736 0.6736 0.5000  6 Ag 2.76-2.88, 4 Fe 2.79
5 Fe 0.7500 0.2500 0.5000  4 Fe 2.76, 8 Ag 2.79
6 Fe 0.0000 0.0000 0.0000  4 Fe 2.76, 8 Ag 2.79

Computed properties:
As for the formation energy: 106 kJ/mol of formula units.

***

Entry 5:
The following is a DFT calculation (PBE-GGA) of an optimized crystal structure of AlCuNi5.

a b c (Å): 8.1357 4.6480 5.2009
angles (deg): 116.54 141.46 90.00
With the nearest neighbours (Å) after each atom.
Sites, in units of the cell vectors:
1 Ni 0.1797 0.2448 0.4896  5 Ni 2.21-2.44
2 Ni 0.6554 0.2431 0.0000  4 Ni 2.26-2.44, 1 Cu 2.39
3 Ni 0.6902 0.7552 0.5104  5 Ni 2.21-2.44
4 Ni 0.6554 0.7569 0.0000  4 Ni 2.26-2.44, 1 Cu 2.39
5 Ni 0.1840 0.5000 0.0000  1 Cu 2.23, 2 Ni 2.34, 2 Al 2.40
6 Cu 0.9093 0.5000 0.0000  3 Ni 2.23-2.39
7 Al 0.2566 0.0000 0.0000  6 Ni 2.40-2.68, 2 Cu 2.58

Computed properties:
Its energy above the most stable polymorph in this dataset is 88 meV per atom. As for the formation energy: 54 kJ/mol of formula units.

***

Entry 6:
The following is a DFT calculation (PBE-GGA) of an optimized crystal structure of YMgSi2.

a b c (Å): 4.6527 4.6527 9.2853
angles (deg): 75.49 75.49 90.00
With the nearest neighbours (Å) after each atom.
Sites, in units of the cell vectors:
1 Mg 0.2500 0.7500 0.5000  4 Si 2.54
2 Mg 0.5000 0.5000 0.0000  4 Si 2.54
3 Si 0.2389 0.6250 0.2500  2 Mg 2.54, 2 Si 2.65
4 Si 0.3750 0.4889 0.7500  2 Mg 2.54, 2 Si 2.65
5 Si 0.5111 0.1250 0.2500  2 Mg 2.54, 2 Si 2.65
6 Si 0.8750 0.7611 0.7500  2 Mg 2.54, 2 Si 2.65
7 Y 0.0000 0.0000 0.0000  4 Si 2.99, 4 Mg 3.29
8 Y 0.7500 0.2500 0.5000  4 Si 2.99, 4 Mg 3.29

Computed properties:
As for the uncorrected formation energy: 0.05 eV per atom.

***

Entry 7:
The following is a DFT calculation (PBE-GGA) of an optimized crystal structure of YSnO3.

a b c (Å): 6.4212 6.4212 12.5840
angles (deg): 90.00 90.00 120.00
With the nearest neighbours (Å) after each atom.
Sites, in units of the cell vectors:
1 O 0.3630 0.0000 0.8291  1 Sn 2.16, 2 Y 2.36
2 O 0.6370 0.0000 0.3291  1 Sn 2.16, 2 Y 2.36
3 O 0.6667 0.3333 0.0276  3 Sn 2.17
4 O 0.3333 0.6667 0.0276  3 Sn 2.17
5 O 0.0000 0.3069 0.1739  1 Sn 2.19, 3 Y 2.30-2.36
6 O 0.3069 0.0000 0.1739  1 Sn 2.19, 3 Y 2.30-2.36
7 O 0.6931 0.0000 0.6739  1 Sn 2.19, 3 Y 2.30-2.36
8 O 0.0000 0.3630 0.8291  1 Sn 2.16, 2 Y 2.36
9 O 0.0000 0.6931 0.6739  1 Sn 2.19, 3 Y 2.30-2.36
10 O 0.6667 0.3333 0.5276  3 Sn 2.17
11 O 0.6931 0.6931 0.1739  1 Sn 2.19, 3 Y 2.30-2.36
12 O 0.3630 0.3630 0.3291  1 Sn 2.16, 2 Y 2.36
13 O 0.3333 0.6667 0.5276  3 Sn 2.17
14 O 0.0000 0.0000 0.9683  3 Sn 2.18
15 O 0.6370 0.6370 0.8291  1 Sn 2.16, 2 Y 2.36
16 O 0.0000 0.6370 0.3291  1 Sn 2.16, 2 Y 2.36
17 O 0.0000 0.0000 0.4683  3 Sn 2.18
18 O 0.3069 0.3069 0.6739  1 Sn 2.19, 3 Y 2.30-2.36
19 Y 0.3333 0.6667 0.7364  7 O 2.36-2.63
20 Y 0.0000 0.0000 0.7687  7 O 2.30-2.51
21 Y 0.0000 0.0000 0.2687  7 O 2.30-2.51
22 Y 0.6667 0.3333 0.7364  7 O 2.36-2.63
23 Y 0.6667 0.3333 0.2364  7 O 2.36-2.63
24 Y 0.3333 0.6667 0.2364  7 O 2.36-2.63
25 Sn 0.6670 0.6670 0.0004  5 O 2.16-2.19
26 Sn 0.6670 0.0000 0.5004  5 O 2.16-2.19
27 Sn 0.0000 0.6670 0.5004  5 O 2.16-2.19
28 Sn 0.3330 0.3330 0.5004  5 O 2.16-2.19
29 Sn 0.3330 0.0000 0.0004  5 O 2.16-2.19
30 Sn 0.0000 0.3330 0.0004  5 O 2.16-2.19

Computed properties:
As for the uncorrected formation energy: -2.39 eV per atom.

***

Entry 8:
The following is a DFT calculation (PBE-GGA) of an optimized crystal structure of LiSb2RhPb.

a b c (Å): 5.7743 5.0777 5.7743
angles (deg): 90.00 90.00 90.00
With the nearest neighbours (Å) after each atom.
Sites, in units of the cell vectors:
1 Rh 0.0000 0.5000 0.0000  2 Pb 2.54
2 Pb 0.0000 0.0000 0.0000  2 Rh 2.54
3 Sb 0.5000 0.0000 0.0000  2 Pb 2.89
4 Sb 0.0000 0.0000 0.5000  2 Pb 2.89
5 Li 0.5000 0.5000 0.5000  8 Sb 3.84, 4 Rh 4.08

Computed properties:
As for the uncorrected formation energy: 0.82 eV per atom.

***

Entry 9:
The following is a DFT calculation (PBE-GGA) of an optimized crystal structure of Ac12PmIr7.

a b c (Å): 10.5636 9.6062 9.6062
angles (deg): 72.64 68.50 111.50
With the nearest neighbours (Å) after each atom.
Sites, in units of the cell vectors:
1 Ac 0.6303 0.7876 0.9227  3 Ir 2.94-3.01
2 Ac 0.0748 0.8585 0.6114  3 Ir 2.96-2.98
3 Ac 0.3138 0.3886 0.4699  3 Ir 2.96-2.98
4 Ac 0.1573 0.7103 0.2124  3 Ir 2.94-3.01
5 Ac 0.2163 0.5301 0.8585  3 Ir 2.96-2.98
6 Ac 0.9252 0.1415 0.3886  3 Ir 2.96-2.98
7 Ac 0.7837 0.4699 0.1415  3 Ir 2.96-2.98
8 Ac 0.8427 0.2897 0.7876  3 Ir 2.94-3.01
9 Ac 0.5530 0.9227 0.2897  3 Ir 2.94-3.01
10 Ac 0.4470 0.0773 0.7103  3 Ir 2.94-3.01
11 Ac 0.3697 0.2124 0.0773  3 Ir 2.94-3.01
12 Ac 0.6862 0.6114 0.5301  3 Ir 2.96-2.98
13 Ir 0.0274 0.9086 0.3197  5 Ac 2.94-3.01, 1 Pm 3.08
14 Ir 0.1189 0.7718 0.9086  5 Ac 2.94-3.01, 1 Pm 3.08
15 Ir 0.8811 0.2282 0.0914  5 Ac 2.94-3.01, 1 Pm 3.08
16 Ir 0.3471 0.3197 0.7718  5 Ac 2.94-3.01, 1 Pm 3.08
17 Ir 0.6529 0.6803 0.2282  5 Ac 2.94-3.01, 1 Pm 3.08
18 Ir 0.9726 0.0914 0.6803  5 Ac 2.94-3.01, 1 Pm 3.08
19 Ir 0.5000 0.0000 0.0000  6 Ac 2.97
20 Pm 0.0000 0.0000 0.0000  6 Ir 3.08

Computed properties:
As for the formation energy: -1096 kJ/mol of formula units.

***

Entry 10:
The following is a DFT calculation (PBE-GGA) of an optimized crystal structure of BaZnSe2.

a b c (Å): 5.3458 5.3458 5.3458
angles (deg): 60.00 60.00 60.00
With the nearest neighbours (Å) after each atom.
Sites, in units of the cell vectors:
1 Se 0.0000 0.0000 0.0000  4 Zn 3.27, 4 Se 3.27
2 Se 0.2500 0.2500 0.2500  4 Ba 3.27, 4 Se 3.27
3 Ba 0.5000 0.5000 0.5000  4 Se 3.27, 4 Zn 3.27
4 Zn 0.7500 0.7500 0.7500  4 Se 3.27, 4 Ba 3.27

Computed properties:
As for the uncorrected formation energy: -0.48 eV per atom.

***

Entry 11:
The following is a DFT calculation (PBE-GGA) of an optimized crystal structure of Mg2TlAg.

a b c (Å): 3.5001 3.2838 8.2275
angles (deg): 66.93 90.00 90.00
With the nearest neighbours (Å) after each atom.
Sites, in units of the cell vectors:
1 Ag 0.5000 0.7500 0.7500  8 Mg 2.89-2.91
2 Mg 0.0000 0.0354 0.9649  4 Ag 2.89-2.91, 4 Tl 3.22-3.24
3 Mg 0.0000 0.4646 0.5351  4 Ag 2.89-2.91, 4 Tl 3.22-3.24
4 Tl 0.5000 0.2500 0.2500  8 Mg 3.22-3.24, 4 Tl 3.28-3.50

Computed properties:
As for the formation energy: -46 kJ/mol of formula units.

***

Entry 12:
The following is a DFT calculation (PBE-GGA) of an optimized crystal structure of AcPrO.

a b c (Å): 3.8561 3.8561 6.3343
angles (deg): 90.00 90.00 120.00
With the nearest neighbours (Å) after each atom.
Sites, in units of the cell vectors:
1 O 0.3333 0.6667 0.6590  3 Pr 2.60, 3 Ac 2.68
2 Ac 0.0000 0.0000 0.8954  3 O 2.68
3 Pr 0.6667 0.3333 0.4455  3 O 2.60

Computed properties:
As for the uncorrected formation energy: -1.59 eV per atom. Its energy above the most stable polymorph in this dataset is 0 meV per atom.